Record 1
Computed, not measured: a relaxed structure of AlCd2Pt at the PBE-GGA level of DFT.

Cell: 4.065 4.065 4.326 Å, 90.00 90.00 90.00°
Fractional coordinates of all 4 atoms:
Al 0.000 0.000 0.000
Cd 0.000 0.500 0.500
Cd 0.500 0.000 0.500
Pt 0.500 0.500 0.000

Computed properties:
Its formation energy is -0.198 eV/atom. The calculation puts the electronic total energy at -3.101 eV/atom.

Record 2
Computed, not measured: a relaxed structure of Al2CdPt at the PBE-GGA level of DFT.

Cell: 8.847 3.621 4.494 Å, 90.00 104.62 90.00°
Fractional coordinates of all 8 atoms:
Al 0.000 0.000 0.000
Al 0.240 0.000 0.709
Al 0.500 0.500 0.000
Al 0.740 0.500 0.709
Cd 0.483 0.000 0.467
Cd 0.983 0.500 0.467
Pt 0.222 0.500 0.116
Pt 0.722 0.000 0.116

Computed properties:
Its formation energy is -0.339 eV/atom. The calculation puts the electronic total energy at -3.950 eV/atom.

Record 3
Computed, not measured: a relaxed structure of AlCd2Pt at the PBE-GGA level of DFT.

Cell: 3.080 3.080 27.513 Å, 90.00 90.00 120.00°
Fractional coordinates of all 12 atoms:
Al 0.000 0.000 0.000
Al 0.333 0.667 0.667
Al 0.667 0.333 0.333
Cd 0.000 0.000 0.517
Cd 0.000 0.000 0.753
Cd 0.333 0.667 0.184
Cd 0.333 0.667 0.420
Cd 0.667 0.333 0.087
Cd 0.667 0.333 0.851
Pt 0.000 0.000 0.268
Pt 0.333 0.667 0.935
Pt 0.667 0.333 0.601

Computed properties:
Its formation energy is -0.226 eV/atom. The calculation puts the electronic total energy at -3.130 eV/atom.

Record 4
Computed, not measured: a relaxed structure of Al2CdPt at the PBE-GGA level of DFT.

Cell: 4.134 4.134 3.864 Å, 90.00 90.00 90.00°
Fractional coordinates of all 4 atoms:
Al 0.000 0.500 0.000
Al 0.500 0.000 0.000
Cd 0.000 0.000 0.500
Pt 0.500 0.500 0.500

Computed properties:
Its formation energy is -0.290 eV/atom. The calculation puts the electronic total energy at -3.900 eV/atom.

Record 5
Computed, not measured: a relaxed structure of AlCd2Pt at the PBE-GGA level of DFT.

Cell: 5.674 8.383 3.051 Å, 90.00 90.00 90.00°
Fractional coordinates of all 8 atoms:
Al 0.000 0.000 0.000
Al 0.500 0.500 0.000
Cd 0.250 0.250 0.500
Cd 0.250 0.750 0.500
Cd 0.750 0.250 0.500
Cd 0.750 0.750 0.500
Pt 0.000 0.500 0.000
Pt 0.500 0.000 0.000

Computed properties:
Its formation energy is -0.146 eV/atom. The calculation puts the electronic total energy at -3.049 eV/atom.

Record 6
Computed, not measured: a relaxed structure of AlCd2Pt at the PBE-GGA level of DFT.

Cell: 4.058 4.058 8.644 Å, 90.00 90.00 90.00°
Fractional coordinates of all 8 atoms:
Al 0.000 0.000 0.000
Al 0.500 0.500 0.500
Cd 0.000 0.500 0.250
Cd 0.000 0.500 0.750
Cd 0.500 0.000 0.250
Cd 0.500 0.000 0.750
Pt 0.000 0.000 0.500
Pt 0.500 0.500 0.000

Computed properties:
Its formation energy is -0.231 eV/atom. The calculation puts the electronic total energy at -3.134 eV/atom.

Record 7
Computed, not measured: a relaxed structure of AlCd2Pt at the PBE-GGA level of DFT.

Cell: 3.155 4.356 5.623 Å, 90.00 105.90 90.00°
Fractional coordinates of all 4 atoms:
Al 0.000 0.000 0.000
Cd 0.271 0.000 0.538
Cd 0.617 0.500 0.235
Pt 0.887 0.500 0.772

Computed properties:
Its formation energy is -0.240 eV/atom. The calculation puts the electronic total energy at -3.143 eV/atom.

Record 8
Computed, not measured: a relaxed structure of Al3CdPt at the PBE-GGA level of DFT.

Cell: 4.824 4.824 4.824 Å, 90.00 90.00 90.00°
Fractional coordinates of all 5 atoms:
Al 0.000 0.000 0.500
Al 0.000 0.500 0.000
Al 0.500 0.000 0.000
Cd 0.500 0.500 0.500
Pt 0.000 0.000 0.000

Computed properties:
Its formation energy is -0.181 eV/atom. The calculation puts the electronic total energy at -3.818 eV/atom.

Record 9
Computed, not measured: a relaxed structure of AlCd2Pt at the PBE-GGA level of DFT.

Cell: 3.174 3.469 6.776 Å, 90.00 90.00 90.00°
Fractional coordinates of all 4 atoms:
Al 0.000 0.000 0.000
Cd 0.000 0.000 0.572
Cd 0.500 0.500 0.287
Pt 0.500 0.500 0.854

Computed properties:
Its formation energy is -0.328 eV/atom. The calculation puts the electronic total energy at -3.231 eV/atom.

Record 10
Computed, not measured: a relaxed structure of AlCdPt at the PBE-GGA level of DFT.

Cell: 3.018 3.018 6.673 Å, 90.00 90.00 120.00°
Fractional coordinates of all 3 atoms:
Al 0.000 0.000 0.000
Cd 0.667 0.333 0.366
Pt 0.333 0.667 0.722

Computed properties:
Its formation energy is -0.319 eV/atom. The calculation puts the electronic total energy at -3.885 eV/atom.

Record 11
Computed, not measured: a relaxed structure of Al2CdPt at the PBE-GGA level of DFT.

Cell: 5.712 9.269 2.977 Å, 90.00 118.84 90.00°
Fractional coordinates of all 8 atoms:
Al 0.250 0.250 0.000
Al 0.250 0.750 0.000
Al 0.750 0.250 0.000
Al 0.750 0.750 0.000
Cd 0.000 0.000 0.000
Cd 0.500 0.500 0.000
Pt 0.000 0.500 0.000
Pt 0.500 0.000 0.000

Computed properties:
Its formation energy is -0.179 eV/atom. The calculation puts the electronic total energy at -3.790 eV/atom.

Record 12
Computed, not measured: a relaxed structure of AlCd2Pt at the PBE-GGA level of DFT.

Cell: 4.224 4.224 7.986 Å, 90.00 90.00 90.00°
Fractional coordinates of all 8 atoms:
Al 0.000 0.000 0.000
Al 0.500 0.500 0.500
Cd 0.000 0.000 0.500
Cd 0.000 0.500 0.750
Cd 0.500 0.000 0.250
Cd 0.500 0.500 0.000
Pt 0.000 0.500 0.250
Pt 0.500 0.000 0.750

Computed properties:
Its formation energy is -0.223 eV/atom. The calculation puts the electronic total energy at -3.126 eV/atom.

Record 13
Computed, not measured: a relaxed structure of AlCd2Pt at the PBE-GGA level of DFT.

Cell: 6.583 6.583 6.583 Å, 90.00 90.00 90.00°
Fractional coordinates of all 16 atoms:
Al 0.000 0.000 0.000
Al 0.000 0.500 0.500
Al 0.500 0.000 0.500
Al 0.500 0.500 0.000
Cd 0.000 0.000 0.500
Cd 0.000 0.500 0.000
Cd 0.250 0.250 0.750
Cd 0.250 0.750 0.250
Cd 0.500 0.000 0.000
Cd 0.500 0.500 0.500
Cd 0.750 0.250 0.250
Cd 0.750 0.750 0.750
Pt 0.250 0.250 0.250
Pt 0.250 0.750 0.750
Pt 0.750 0.250 0.750
Pt 0.750 0.750 0.250

Computed properties:
Its formation energy is -0.172 eV/atom. The calculation puts the electronic total energy at -3.075 eV/atom.

Record 14
Computed, not measured: a relaxed structure of AlCd2Pt at the PBE-GGA level of DFT.

Cell: 3.024 3.024 28.148 Å, 90.00 90.00 120.00°
Fractional coordinates of all 12 atoms:
Al 0.000 0.000 0.000
Al 0.333 0.667 0.667
Al 0.667 0.333 0.333
Cd 0.000 0.000 0.248
Cd 0.000 0.000 0.752
Cd 0.333 0.667 0.419
Cd 0.333 0.667 0.914
Cd 0.667 0.333 0.086
Cd 0.667 0.333 0.581
Pt 0.000 0.000 0.500
Pt 0.333 0.667 0.167
Pt 0.667 0.333 0.833

Computed properties:
Its formation energy is -0.051 eV/atom. The calculation puts the electronic total energy at -2.955 eV/atom.

Record 15
Computed, not measured: a relaxed structure of AlCd2Pt at the PBE-GGA level of DFT.

Cell: 3.002 3.002 8.371 Å, 90.00 90.00 90.00°
Fractional coordinates of all 4 atoms:
Al 0.000 0.000 0.000
Cd 0.500 0.500 0.267
Cd 0.500 0.500 0.733
Pt 0.000 0.000 0.500

Computed properties:
Its formation energy is -0.069 eV/atom. The calculation puts the electronic total energy at -2.973 eV/atom.

Record 16
Computed, not measured: a relaxed structure of AlCd2Pt at the PBE-GGA level of DFT.

Cell: 2.927 5.247 4.774 Å, 90.00 90.93 90.00°
Fractional coordinates of all 4 atoms:
Al 0.000 0.000 0.000
Cd 0.252 0.500 0.251
Cd 0.748 0.500 0.749
Pt 0.500 0.000 0.500

Computed properties:
Its formation energy is -0.178 eV/atom. The calculation puts the electronic total energy at -3.082 eV/atom.

Record 17
Computed, not measured: a relaxed structure of Al2CdPt at the PBE-GGA level of DFT.

Cell: 4.110 4.146 8.111 Å, 90.00 90.00 90.00°
Fractional coordinates of all 8 atoms:
Al 0.000 0.000 0.000
Al 0.000 0.500 0.249
Al 0.500 0.000 0.249
Al 0.500 0.500 0.000
Cd 0.000 0.000 0.536
Cd 0.500 0.500 0.536
Pt 0.000 0.500 0.807
Pt 0.500 0.000 0.807

Computed properties:
Its formation energy is -0.320 eV/atom. The calculation puts the electronic total energy at -3.930 eV/atom.

Record 18
Computed, not measured: a relaxed structure of Al2CdPt at the PBE-GGA level of DFT.

Cell: 8.562 3.358 4.965 Å, 90.00 101.20 90.00°
Fractional coordinates of all 8 atoms:
Al 0.234 0.000 0.209
Al 0.266 0.500 0.791
Al 0.734 0.500 0.209
Al 0.766 0.000 0.791
Cd 0.000 0.000 0.500
Cd 0.500 0.500 0.500
Pt 0.000 0.500 0.000
Pt 0.500 0.000 0.000

Computed properties:
Its formation energy is -0.342 eV/atom. The calculation puts the electronic total energy at -3.952 eV/atom.

Record 19
Computed, not measured: a relaxed structure of AlCd4Pt at the PBE-GGA level of DFT.

Cell: 5.576 5.576 5.576 Å, 60.00 60.00 60.00°
Fractional coordinates of all 6 atoms:
Al 0.000 0.000 0.000
Cd 0.126 0.625 0.625
Cd 0.625 0.126 0.625
Cd 0.625 0.625 0.126
Cd 0.625 0.625 0.625
Pt 0.250 0.250 0.250

Computed properties:
Its formation energy is 0.211 eV/atom. The calculation puts the electronic total energy at -2.030 eV/atom.

Record 20
Computed, not measured: a relaxed structure of Al2CdPt at the PBE-GGA level of DFT.

Cell: 6.512 6.512 6.512 Å, 90.00 90.00 90.00°
Fractional coordinates of all 16 atoms:
Al 0.000 0.000 0.000
Al 0.000 0.500 0.500
Al 0.250 0.250 0.250
Al 0.250 0.750 0.750
Al 0.500 0.000 0.500
Al 0.500 0.500 0.000
Al 0.750 0.250 0.750
Al 0.750 0.750 0.250
Cd 0.250 0.250 0.750
Cd 0.250 0.750 0.250
Cd 0.750 0.250 0.250
Cd 0.750 0.750 0.750
Pt 0.000 0.000 0.500
Pt 0.000 0.500 0.000
Pt 0.500 0.000 0.000
Pt 0.500 0.500 0.500

Computed properties:
Its formation energy is -0.123 eV/atom. The calculation puts the electronic total energy at -3.733 eV/atom.